# 1
BaCaNdFeO6, optimized geometry, DFT GGA+U; total DFT energy (no corrections) = -6.588 eV/atom; size of the total moment = 3.0 μB per formula unit; symmetry = F-43m
1.0
0.0000 4.0732 4.0732
4.0732 0.0000 4.0732
4.0732 4.0732 0.0000
Ba Ca Nd Fe O
1 1 1 1 6
direct
0.0000 0.0000 0.0000
0.2500 0.2500 0.2500
0.5000 0.5000 0.5000
0.7500 0.7500 0.7500
0.5203 0.5203 0.9797
0.5203 0.9797 0.5203
0.5203 0.9797 0.9797
0.9797 0.5203 0.5203
0.9797 0.5203 0.9797
0.9797 0.9797 0.5203

# 2
BaCaFe4O7, optimized geometry, DFT GGA+U; total DFT energy (no corrections) = -6.573 eV/atom; size of the total moment = 18.0 μB per formula unit; symmetry = Cc
1.0
3.2965 -5.5345 0.0000
3.2965 5.5345 0.0000
-0.0322 0.0000 10.5021
Ba Ca Fe O
2 2 8 14
direct
0.1683 0.8317 0.5000
0.8317 0.1683 0.0000
0.1674 0.8416 0.8886
0.8416 0.1674 0.3886
0.1715 0.3607 0.6947
0.3077 0.6507 0.1995
0.3607 0.1715 0.1947
0.5024 0.5121 0.9557
0.5121 0.5024 0.4557
0.6507 0.3077 0.6995
0.7113 0.8575 0.6905
0.8575 0.7113 0.1905
0.0111 0.5400 0.2808
0.0409 0.0506 0.7551
0.0506 0.0409 0.2551
0.1799 0.3950 0.5167
0.2476 0.5877 0.0233
0.3950 0.1799 0.0167
0.4996 0.9791 0.2497
0.5010 0.5007 0.2525
0.5007 0.5010 0.7525
0.5400 0.0111 0.7808
0.5877 0.2476 0.5233
0.7541 0.8202 0.5063
0.8202 0.7541 0.0063
0.9791 0.4996 0.7497

# 3
BaCaFeO3, optimized geometry, DFT GGA+U; total DFT energy (no corrections) = -6.260 eV/atom; size of the total moment = 4.0 μB per formula unit; symmetry = P6_3/mmc
1.0
6.1773 0.0000 0.0000
-3.0886 5.3497 0.0000
0.0000 0.0000 6.5243
Ba Ca Fe O
2 2 2 6
direct
0.3333 0.6667 0.2500
0.6667 0.3333 0.7500
0.0000 0.0000 0.0000
0.0000 0.0000 0.5000
0.3333 0.6667 0.7500
0.6667 0.3333 0.2500
0.1596 0.3192 0.7500
0.1596 0.8404 0.7500
0.3192 0.1596 0.2500
0.6808 0.8404 0.7500
0.8404 0.1596 0.2500
0.8404 0.6808 0.2500

# 4
Ba3CaFe2O9, optimized geometry, DFT GGA+U; total DFT energy (no corrections) = -6.173 eV/atom; size of the total moment = 6.1 μB per formula unit; symmetry = P-3m1
1.0
5.8271 0.0000 0.0000
-2.9136 5.0464 0.0000
0.0000 0.0000 7.2154
Ba Ca Fe O
3 1 2 9
direct
0.0000 0.0000 0.0000
0.3333 0.6667 0.6756
0.6667 0.3333 0.3244
0.0000 0.0000 0.5000
0.3333 0.6667 0.1627
0.6667 0.3333 0.8373
0.0000 0.5000 0.0000
0.1792 0.3583 0.3100
0.1792 0.8208 0.3100
0.3583 0.1792 0.6901
0.5000 0.0000 0.0000
0.5000 0.5000 0.0000
0.6417 0.8208 0.3100
0.8208 0.1792 0.6901
0.8208 0.6417 0.6901

# 5
BaCaFe4O12, optimized geometry, DFT GGA+U; total DFT energy (no corrections) = -5.884 eV/atom; size of the total moment = 19.8 μB per formula unit; symmetry = P4/mmm
1.0
5.4580 0.0000 0.0000
0.0000 5.4580 0.0000
0.0000 0.0000 7.7212
Ba Ca Fe O
1 1 4 12
direct
0.0000 0.0000 0.0000
0.5000 0.5000 0.5000
0.0000 0.5000 0.2528
0.0000 0.5000 0.7472
0.5000 0.0000 0.2528
0.5000 0.0000 0.7472
0.0000 0.5000 0.0000
0.0000 0.5000 0.5000
0.2563 0.2563 0.2616
0.2563 0.2563 0.7384
0.2563 0.7437 0.2616
0.2563 0.7437 0.7384
0.5000 0.0000 0.0000
0.5000 0.0000 0.5000
0.7437 0.2563 0.2616
0.7437 0.2563 0.7384
0.7437 0.7437 0.2616
0.7437 0.7437 0.7384

# 6
BaCaPrFeO6, optimized geometry, DFT GGA+U; total DFT energy (no corrections) = -6.556 eV/atom; size of the total moment = 3.0 μB per formula unit; symmetry = F-43m
1.0
0.0000 4.1834 4.1834
4.1834 0.0000 4.1834
4.1834 4.1834 0.0000
Ba Ca Pr Fe O
1 1 1 1 6
direct
0.0000 0.0000 0.0000
0.5000 0.5000 0.5000
0.7500 0.7500 0.7500
0.2500 0.2500 0.2500
0.0241 0.0241 0.4759
0.0241 0.4759 0.0241
0.0241 0.4759 0.4759
0.4759 0.0241 0.0241
0.4759 0.0241 0.4759
0.4759 0.4759 0.0241

# 7
BaCaSmFeO6, optimized geometry, DFT GGA+U; total DFT energy (no corrections) = -6.608 eV/atom; size of the total moment = 3.0 μB per formula unit; symmetry = F-43m
1.0
0.0000 4.1400 4.1400
4.1400 0.0000 4.1400
4.1400 4.1400 0.0000
Ba Ca Sm Fe O
1 1 1 1 6
direct
0.0000 0.0000 0.0000
0.5000 0.5000 0.5000
0.2500 0.2500 0.2500
0.7500 0.7500 0.7500
0.5217 0.5217 0.9783
0.5217 0.9783 0.5217
0.5217 0.9783 0.9783
0.9783 0.5217 0.5217
0.9783 0.5217 0.9783
0.9783 0.9783 0.5217

# 8
BaCaSmFeO6, optimized geometry, DFT GGA+U; total DFT energy (no corrections) = -6.558 eV/atom; size of the total moment = 3.0 μB per formula unit; symmetry = F-43m
1.0
0.0000 4.0642 4.0642
4.0642 0.0000 4.0642
4.0642 4.0642 0.0000
Ba Ca Sm Fe O
1 1 1 1 6
direct
0.0000 0.0000 0.0000
0.2500 0.2500 0.2500
0.5000 0.5000 0.5000
0.7500 0.7500 0.7500
0.5202 0.5202 0.9798
0.5202 0.9798 0.5202
0.5202 0.9798 0.9798
0.9798 0.5202 0.5202
0.9798 0.5202 0.9798
0.9798 0.9798 0.5202